# 1
First-principles (PBE) data for a relaxed Tl4I3O crystal, as listed in the Alexandria database.

The structure in POSCAR format:
```
Tl4I3O
1.0
-5.1735 -4.9001 -1.4829
1.5974 -4.5280 9.3894
-6.3461 5.5618 3.7618
I Tl O
6 8 2
direct
0.0576 0.0561 0.5000
0.5678 0.3382 0.6937
0.0678 0.6618 0.8063
0.5576 0.9439 0.0000
0.0678 0.6618 0.1937
0.5678 0.3382 0.3063
0.0651 0.3143 0.7656
0.6646 0.2381 0.0000
0.5482 0.0125 0.5000
0.0651 0.3143 0.2344
0.1646 0.7619 0.5000
0.5651 0.6857 0.7344
0.5651 0.6857 0.2656
0.0482 0.9875 0.0000
0.9790 0.2177 0.0000
0.4790 0.7823 0.5000
```

Properties
- symmetry = Pmn2_1 (31)
- size of the total moment (μB per cell) = 0.00
- E (eV for the cell shown) = -46.48
- ρ (Mg/m³) = 5.69

***

# 2
First-principles (PBE) data for a relaxed MnCoTcB crystal, as listed in the Alexandria database.

The structure in POSCAR format:
```
MnCoTcB
1.0
-3.5438 0.5822 -1.5927
-0.4715 -0.2610 -3.8915
-1.9819 -3.0222 -1.5402
Mn B Tc Co
1 1 1 1
direct
0.5000 0.5000 0.5000
0.0000 0.0000 0.0000
0.2500 0.2500 0.2500
0.7500 0.7500 0.7500
```

Properties
- symmetry = F-43m (216)
- size of the total moment (μB per cell) = 2.22
- calculated formation energy (eV per atom) = 0.092
- ρ (Mg/m³) = 8.62